PBE-GGA Sn3Te3Br, optimized geometry; electronic total energy = -3.56 eV/atom; raw formation energy = -261 meV/atom; density = 5.27 g cm⁻³; space group = P6_3/m (176)
1.0
-0.2098 -3.7886 -4.8286
7.4822 -5.1959 3.7516
-9.2836 -2.3859 2.2754
Sn Te Br
6 6 2
Direct
0.2500 0.7327 0.6615 Sn
0.7500 0.0711 0.7327 Sn
0.2500 0.3385 0.0711 Sn
0.7500 0.6615 0.9289 Sn
0.7500 0.2673 0.3385 Sn
0.2500 0.9289 0.2673 Sn
0.7500 0.9400 0.2858 Te
0.2500 0.2858 0.3458 Te
0.2500 0.6542 0.9400 Te
0.2500 0.0600 0.7142 Te
0.7500 0.7142 0.6542 Te
0.7500 0.3458 0.0600 Te
0.2500 0.6667 0.3333 Br
0.7500 0.3333 0.6667 Br